# 1
# Sm3Ho4Ag | Alexandria | GGA-PBE | optimized geometry
# ΔE_f	-0.0602	eV/atom
# final energy	-4.48	eV per atom
data_Sm3Ho4Ag
_chemical_formula_sum 'Sm3 Ho4 Ag1'
_cell_length_a 3.5701
_cell_length_b 3.5701
_cell_length_c 19.0209
_cell_angle_alpha 90.00
_cell_angle_beta 90.00
_cell_angle_gamma 90.00
_symmetry_space_group_name_H-M 'P 1'
_symmetry_Int_Tables_number 1
_symmetry_space_group_name_Hall 'P 1'
loop_
_atom_site_label
_atom_site_fract_x
_atom_site_fract_y
_atom_site_fract_z
Ag1 0.5000 0.5000 0.0000
Sm1 0.5000 0.5000 0.7664
Sm2 0.5000 0.5000 0.2336
Ho1 0.0000 0.0000 0.9015
Ho2 0.0000 0.0000 0.3664
Ho3 0.0000 0.0000 0.6336
Ho4 0.0000 0.0000 0.0985
Sm3 0.5000 0.5000 0.5000

***

# 2
# AlIn3Au | Alexandria | GGA-PBE | optimized geometry
# ΔE_f	0.3990	eV/atom
# final energy	-2.65	eV per atom
# energy above the lowest structure with this stoichiometry	0.41	eV per formula unit
data_AlIn3Au
_chemical_formula_sum 'Al1 In3 Au1'
_cell_length_a 5.3077
_cell_length_b 5.3077
_cell_length_c 5.3077
_cell_angle_alpha 90.00
_cell_angle_beta 90.00
_cell_angle_gamma 90.00
_symmetry_space_group_name_H-M 'P 1'
_symmetry_Int_Tables_number 1
_symmetry_space_group_name_Hall 'P 1'
loop_
_atom_site_label
_atom_site_fract_x
_atom_site_fract_y
_atom_site_fract_z
In1 0.5000 0.0000 0.0000
In2 0.0000 0.0000 0.5000
Au1 0.5000 0.5000 0.5000
Al1 0.0000 0.0000 0.0000
In3 0.0000 0.5000 0.0000